P:
DFT (GGA-PBE) results for a relaxed Nd2ErAu crystal.

Cell lengths 3.7394, 3.7394, 8.4503 Å; angles 90.00, 90.00, 90.00 degrees
Fractional positions:
Nd1 0.0000 0.0000 0.7860
Nd2 0.0000 0.0000 0.2140
Au1 0.5000 0.5000 0.0000
Er1 0.5000 0.5000 0.5000

Properties
Magnetization (Bohr magnetons per cell): 0.0
Calculated volume (Å³ per cell): 118.2
Symmetry: No. 123

Q:
DFT (GGA-PBE) results for a relaxed Nd2ErAu crystal.

Cell lengths 3.7540, 3.7540, 10.3855 Å; angles 79.59, 79.59, 60.00 degrees
Fractional positions:
Er1 0.4994 0.4994 0.5017
Au1 0.6671 0.6671 0.9988
Nd1 0.0728 0.0728 0.7816
Nd2 0.2607 0.2607 0.2179

Properties
Magnetization (Bohr magnetons per cell): 0.0
Calculated volume (Å³ per cell): 124.0
Symmetry: No. 160

Stability summary: most stable P, least stable Q.

P:
DFT (GGA-PBE) results for a relaxed Nd2ErAu crystal.

Cell lengths 3.7247, 3.7247, 10.4691 Å; angles 79.75, 79.75, 60.00 degrees
Fractional positions:
Au1 0.0000 0.0000 0.0000
Er1 0.5000 0.5000 0.5000
Nd1 0.2606 0.2606 0.2183
Nd2 0.7394 0.7394 0.7817

Properties
Magnetization (Bohr magnetons per cell): 0.0
Calculated volume (Å³ per cell): 123.1
Symmetry: No. 166

Q:
DFT (GGA-PBE) results for a relaxed Nd2ErAu crystal.

Cell lengths 3.7701, 3.7701, 10.1174 Å; angles 90.00, 90.00, 60.01 degrees
Fractional positions:
Er1 0.6216 0.6216 0.8255
Au1 0.2883 0.2883 0.0173
Nd1 0.6217 0.6217 0.2350
Nd2 0.9552 0.9552 0.5330

Properties
Magnetization (Bohr magnetons per cell): 0.0
Calculated volume (Å³ per cell): 124.6
Symmetry: No. 156

Stability summary: most stable Q, least stable P.

P:
DFT (GGA-PBE) results for a relaxed NdErAu crystal.

Cell lengths 3.6295, 3.6295, 6.7883 Å; angles 105.51, 105.51, 90.00 degrees
Fractional positions:
Nd1 0.0156 0.0156 0.0312
Au1 0.6802 0.6802 0.3604
Er1 0.3042 0.3042 0.6084

Properties
Magnetization (Bohr magnetons per cell): 0.7
Calculated volume (Å³ per cell): 82.8
Symmetry: No. 107

Q:
DFT (GGA-PBE) results for a relaxed NdErAu crystal.

Cell lengths 5.0376, 5.0376, 5.0376 Å; angles 60.00, 60.00, 60.00 degrees
Fractional positions:
Er1 0.5000 0.5000 0.5000
Au1 0.2500 0.2500 0.2500
Nd1 0.0000 0.0000 0.0000

Properties
Magnetization (Bohr magnetons per cell): 0.0
Calculated volume (Å³ per cell): 90.4
Symmetry: No. 216

R:
DFT (GGA-PBE) results for a relaxed NdErAu crystal.

Cell lengths 4.9051, 7.3938, 13.7145 Å; angles 87.33, 90.00, 90.00 degrees
Fractional positions:
Er1 0.7500 0.0399 0.9125
Er2 0.7500 0.6608 0.7813
Er3 0.2500 0.8600 0.4549
Er4 0.2500 0.9601 0.0875
Er5 0.7500 0.1400 0.5451
Er6 0.2500 0.3392 0.2187
Nd1 0.2500 0.0024 0.7147
Nd2 0.7500 0.9976 0.2853
Nd3 0.2500 0.4815 0.6234
Nd4 0.7500 0.5185 0.3766
Nd5 0.7500 0.6124 0.0801
Nd6 0.2500 0.3876 0.9199
Au1 0.2500 0.2507 0.4344
Au2 0.7500 0.2812 0.7431
Au3 0.7500 0.7493 0.5656
Au4 0.2500 0.7892 0.9038
Au5 0.2500 0.7188 0.2569
Au6 0.7500 0.2108 0.0962

Properties
Magnetization (Bohr magnetons per cell): 0.0
Calculated volume (Å³ per cell): 496.9
Symmetry: No. 11

S:
DFT (GGA-PBE) results for a relaxed NdErAu crystal.

Cell lengths 6.8385, 7.3122, 6.8422 Å; angles 90.00, 90.00, 90.07 degrees
Fractional positions:
Nd1 0.2500 0.3777 0.9896
Nd2 0.7500 0.3777 0.5104
Nd3 0.7500 0.6223 0.0104
Nd4 0.2500 0.6223 0.4896
Er1 0.5000 0.9932 0.7501
Er2 0.0000 0.0068 0.2501
Er3 0.0000 0.9932 0.7499
Er4 0.5000 0.0068 0.2499
Au1 0.7495 0.7757 0.4947
Au2 0.7505 0.2243 0.9947
Au3 0.2495 0.7757 0.0053
Au4 0.2505 0.2243 0.5053

Properties
Magnetization (Bohr magnetons per cell): 0.0
Calculated volume (Å³ per cell): 342.1
Symmetry: No. 14

Stability summary: most stable R, least stable Q.

P:
DFT (GGA-PBE) results for a relaxed NdErPdAu crystal.

Cell lengths 5.0956, 5.0956, 5.0956 Å; angles 60.00, 60.00, 60.00 degrees
Fractional positions:
Er1 0.7500 0.7500 0.7500
Au1 0.5000 0.5000 0.5000
Pd1 0.0000 0.0000 0.0000
Nd1 0.2500 0.2500 0.2500

Properties
Magnetization (Bohr magnetons per cell): 0.0
Calculated volume (Å³ per cell): 93.6
Symmetry: No. 216

Q:
DFT (GGA-PBE) results for a relaxed NdErPdAu crystal.

Cell lengths 3.8069, 4.7447, 5.6869 Å; angles 90.00, 109.55, 90.00 degrees
Fractional positions:
Nd1 0.1402 0.0000 0.2804
Pd1 0.4128 0.0000 0.8255
Er1 0.8642 0.5000 0.7284
Au1 0.5828 0.5000 0.1656

Properties
Magnetization (Bohr magnetons per cell): 0.0
Calculated volume (Å³ per cell): 96.8
Symmetry: No. 38

Stability summary: most stable Q, least stable P.

P:
DFT (GGA-PBE) results for a relaxed NdErRhAu crystal.

Cell lengths 5.0396, 5.0396, 5.0396 Å; angles 60.00, 60.00, 60.00 degrees
Fractional positions:
Rh1 0.5000 0.5000 0.5000
Nd1 0.2500 0.2500 0.2500
Er1 0.7500 0.7500 0.7500
Au1 0.0000 0.0000 0.0000

Properties
Magnetization (Bohr magnetons per cell): 0.0
Calculated volume (Å³ per cell): 90.5
Symmetry: No. 216

Q:
DFT (GGA-PBE) results for a relaxed NdErRhAu crystal.

Cell lengths 3.8306, 4.6389, 5.6043 Å; angles 90.00, 109.98, 90.00 degrees
Fractional positions:
Nd1 0.1457 0.0000 0.2915
Er1 0.8648 0.5000 0.7296
Au1 0.5807 0.5000 0.1614
Rh1 0.4087 0.0000 0.8175

Properties
Magnetization (Bohr magnetons per cell): 0.0
Calculated volume (Å³ per cell): 93.6
Symmetry: No. 38

Stability summary: most stable Q, least stable P.

P:
DFT (GGA-PBE) results for a relaxed Er3NiAu crystal.

Cell lengths 5.8890, 5.8890, 8.3372 Å; angles 67.94, 67.94, 66.12 degrees
Fractional positions:
Ni1 0.3077 0.6923 0.0000
Ni2 0.6923 0.3077 0.0000
Er1 0.7100 0.7100 0.6732
Er2 0.6793 0.6793 0.1374
Er3 0.0235 0.0235 0.7732
Er4 0.2900 0.2900 0.3268
Er5 0.3207 0.3207 0.8626
Er6 0.9765 0.9765 0.2268
Au1 0.7236 0.2764 0.5000
Au2 0.2764 0.7236 0.5000

Properties
Magnetization (Bohr magnetons per cell): 0.0
Calculated volume (Å³ per cell): 236.3
Symmetry: No. 12

Q:
DFT (GGA-PBE) results for a relaxed Er3NiAu crystal.

Cell lengths 4.0445, 6.9123, 8.7510 Å; angles 90.00, 90.00, 90.00 degrees
Fractional positions:
Au1 0.7500 0.2500 0.1701
Au2 0.2500 0.7500 0.8299
Er1 0.7500 0.9967 0.6651
Er2 0.7500 0.7500 0.0655
Er3 0.7500 0.5033 0.6651
Er4 0.2500 0.0033 0.3349
Er5 0.2500 0.4967 0.3349
Er6 0.2500 0.2500 0.9345
Ni1 0.2500 0.2500 0.5954
Ni2 0.7500 0.7500 0.4046

Properties
Magnetization (Bohr magnetons per cell): 0.0
Calculated volume (Å³ per cell): 244.6
Symmetry: No. 59

Stability summary: most stable P, least stable Q.